The following is a DFT calculation (PBE with a Hubbard U) of crystalline Pa3CoSe2O6 at its relaxed geometry.

```
Pa3CoSe2O6
1.0
5.913 -3.852 0.000
5.913 3.852 0.000
-2.104 0.000 6.018
Pa Co Se O
3 1 2 6
Direct
0.000 0.000 0.000
0.000 0.500 0.500
0.500 0.000 0.500
0.500 0.500 0.500
0.167 0.167 0.753
0.833 0.833 0.247
0.085 0.702 0.783
0.298 0.915 0.217
0.336 0.336 0.455
0.664 0.664 0.545
0.702 0.085 0.783
0.915 0.298 0.217
```

Summary:
- Magnetization: 2.00 μB/f.u.
- Energy: -101.364 eV for the cell shown
- Symmetry: C2/m